(1)
SrLaCuSe3 | PBE-GGA | optimized geometry

```
SrLaCuSe3
1.0
4.297 0.000 0.000
0.000 8.590 0.000
0.000 0.000 16.594
Sr La Cu Se
4 4 4 12
Cartesian
1.074 0.791 3.559
1.074 5.086 4.738
3.223 7.799 13.035
3.223 3.504 11.856
1.074 2.236 15.917
1.074 6.531 8.974
3.223 6.354 0.677
3.223 2.059 7.620
1.074 1.068 10.508
1.074 5.363 14.384
3.223 7.522 6.087
3.223 3.227 2.211
1.074 3.239 9.340
1.074 7.534 15.551
3.223 5.351 7.254
3.223 1.056 1.043
1.074 1.520 12.961
1.074 5.815 11.931
3.223 7.070 3.634
3.223 2.775 4.663
1.074 0.066 6.676
1.074 4.361 1.621
3.223 8.525 9.919
3.223 4.229 14.973
```

Computed properties:
For the total energy, the calculation gives -5.1109 eV/atom.



(2)
SrLaCuSe3 | PBE-GGA | optimized geometry

```
SrLaCuSe3
1.0
-1.992 -3.193 -1.835
4.957 -5.585 4.337
-11.326 -0.215 12.669
Sr La Cu Se
4 4 4 12
Cartesian
-5.616 -3.821 5.580
-2.745 -5.172 9.591
-10.157 -2.473 12.942
1.796 -6.520 2.229
-7.556 -4.832 9.446
-0.805 -4.161 5.726
-2.473 -1.353 2.650
-5.888 -7.640 12.521
-1.180 -4.534 2.005
-7.181 -4.459 13.166
-7.113 -1.618 8.149
-1.248 -7.375 7.022
-3.092 -4.231 3.554
-5.269 -4.762 11.617
-8.433 -1.982 10.216
0.072 -7.011 4.955
-9.196 -5.301 12.041
0.835 -3.692 3.130
-4.876 -0.961 4.578
-3.485 -8.032 10.593
-1.835 -3.050 0.133
-6.526 -5.943 15.038
-5.155 -3.078 8.563
-3.206 -5.915 6.608
```

Computed properties:
For the total energy, the calculation gives -5.1123 eV/atom.



(3)
LaTbCu2Se4 | PBE-GGA | optimized geometry

```
LaTbCu2Se4
1.0
6.833 0.000 0.000
3.417 5.348 0.092
3.417 0.530 5.323
La Tb Cu Se
1 1 2 4
Cartesian
0.000 0.000 0.000
6.833 2.939 2.707
3.417 2.009 1.851
10.250 3.869 3.563
5.147 0.706 2.764
5.147 5.172 2.650
8.519 2.813 0.477
8.519 3.065 4.938
```

Computed properties:
For the total energy, the calculation gives -5.0884 eV/atom.



(4)
La2CuTe2Se2 | PBE-GGA | optimized geometry

```
La2CuTe2Se2
1.0
-1.440 0.271 4.700
2.902 -3.693 -1.476
10.042 6.818 2.683
La Cu Te Se
2 1 2 2
Cartesian
3.444 1.284 3.560
8.059 2.113 2.347
0.000 0.000 0.000
8.089 5.492 2.161
1.953 1.326 0.522
5.916 2.962 4.220
5.588 0.435 1.687
```

Computed properties:
For the total energy, the calculation gives -5.0480 eV/atom.



(5)
LaCuTeSe | PBE-GGA | optimized geometry

```
LaCuTeSe
1.0
4.663 0.000 0.000
2.332 4.038 0.000
2.332 1.346 11.715
La Cu Te Se
2 2 2 2
Cartesian
2.332 1.346 7.988
6.995 4.038 3.728
6.995 4.038 10.487
2.332 1.346 1.229
4.663 2.692 1.574
4.663 2.692 10.142
6.995 4.038 6.938
2.332 1.346 4.778
```

Computed properties:
For the total energy, the calculation gives -5.0275 eV/atom.



(6)
LaTiCuSe2 | PBE-GGA | optimized geometry

```
LaTiCuSe2
1.0
-4.824 1.740 -2.377
-0.159 -4.756 -3.159
-2.942 -2.601 4.065
Ti Cu Se La
1 1 2 1
Cartesian
-0.080 -2.378 -1.580
-3.962 -2.809 -0.735
-1.471 -1.301 2.033
-2.412 0.870 -1.188
0.000 0.000 0.000
```

Computed properties:
For the total energy, the calculation gives -4.0208 eV/atom.



(7)
La2TlCuSe4 | PBE-GGA | optimized geometry

```
La2TlCuSe4
1.0
-2.564 3.351 0.811
-2.584 -3.159 -6.497
-8.954 -8.741 7.811
La Tl Cu Se
4 2 2 8
Cartesian
-7.864 -6.002 -0.058
-2.883 0.729 -0.744
-6.238 -2.547 2.184
-11.219 -9.278 2.869
-7.556 -6.878 4.534
-6.546 -1.670 -2.408
-10.631 -5.891 2.115
-3.471 -2.658 0.011
-3.086 -1.805 -2.298
-8.634 -4.419 2.346
-11.016 -6.744 4.424
-5.468 -4.130 -0.220
-4.477 -4.371 3.906
0.000 0.000 0.000
-10.061 -7.839 0.587
-4.041 -0.709 1.539
```

Computed properties:
For the total energy, the calculation gives -5.1772 eV/atom.



(8)
La3Tm3CuSe8 | PBE-GGA | optimized geometry

```
La3Tm3CuSe8
1.0
-5.404 -1.279 -6.047
4.826 -6.131 2.556
-6.132 2.716 4.906
La Tm Cu Se
3 3 1 8
Cartesian
0.000 0.000 0.000
2.413 -3.065 1.278
-0.289 -3.705 -1.745
-5.768 0.719 -0.571
-3.355 -2.346 0.707
-0.653 -1.707 3.731
-3.066 1.358 2.453
-0.575 -2.745 1.094
-6.135 -1.948 0.320
-3.277 -3.387 -1.928
-3.432 -1.306 3.343
-5.689 -0.319 -3.215
-1.020 -4.374 4.629
-2.981 0.321 -0.184
-3.728 -5.014 1.599
```

Computed properties:
For the total energy, the calculation gives -5.6812 eV/atom.



(9)
LaYCu2Se4 | PBE-GGA | optimized geometry

```
LaYCu2Se4
1.0
-2.875 6.183 0.294
-3.215 2.504 -4.872
-6.137 0.847 1.403
La Y Cu Se
1 1 2 4
Cartesian
0.000 0.000 0.000
-6.113 4.767 -1.588
-3.655 2.122 -1.141
-8.572 7.412 -2.034
-4.751 3.453 0.457
-6.064 3.044 -3.776
-4.891 7.211 -2.130
-8.747 5.360 -0.900
```

Computed properties:
For the total energy, the calculation gives -5.3168 eV/atom.



(10)
La3Y3CuSe8 | PBE-GGA | optimized geometry

```
La3Y3CuSe8
1.0
8.291 0.000 0.000
-4.146 7.181 -0.025
0.000 -4.764 6.862
La Y Cu Se
3 3 1 8
Cartesian
0.000 0.000 0.000
-2.073 3.591 -0.013
2.073 3.591 -0.013
4.146 -2.382 3.431
2.073 1.209 3.419
-2.073 1.209 3.419
0.000 -2.382 3.431
0.000 2.400 1.817
4.146 0.018 5.020
4.146 2.428 1.833
0.000 -0.011 5.004
6.243 -1.204 1.842
-2.097 3.622 4.995
2.049 -1.204 1.842
2.097 3.622 4.995
```

Computed properties:
For the total energy, the calculation gives -6.1032 eV/atom.



(11)
LaCu2Si | PBE-GGA | optimized geometry

```
LaCu2Si
1.0
4.839 -0.005 0.014
-0.198 4.835 -0.014
-1.748 -2.965 3.401
Cu La Si
2 1 1
Cartesian
0.104 0.109 0.000
2.990 0.019 1.707
2.269 2.361 0.000
-0.150 1.791 1.694
```

Computed properties:
For the total energy, the calculation gives -4.7904 eV/atom.



(12)
LaCu12Si7 | PBE-GGA | optimized geometry

```
LaCu12Si7
1.0
0.824 -3.146 -5.313
6.895 1.191 2.798
-4.203 -4.436 4.410
La Cu Si
1 12 7
Cartesian
0.000 0.000 0.000
2.717 -1.357 1.225
-1.306 -2.967 3.989
5.074 -0.998 -1.160
-1.042 -2.826 -0.820
-0.179 -2.826 1.645
1.878 -2.474 4.294
1.637 -3.916 -2.400
3.695 -3.564 0.249
4.557 -3.565 2.714
-1.559 -5.392 3.055
4.821 -3.423 -2.095
0.798 -5.033 0.669
4.614 0.219 0.880
-0.800 -4.153 -2.828
2.134 -3.589 2.162
0.412 -1.573 -2.657
1.381 -2.801 -0.268
4.315 -2.237 4.722
-1.099 -6.610 1.015
```

Computed properties:
For the total energy, the calculation gives -4.6213 eV/atom.



Copy entry 7 word for word.
La2TlCuSe4 | PBE-GGA | optimized geometry

```
La2TlCuSe4
1.0
-2.564 3.351 0.811
-2.584 -3.159 -6.497
-8.954 -8.741 7.811
La Tl Cu Se
4 2 2 8
Cartesian
-7.864 -6.002 -0.058
-2.883 0.729 -0.744
-6.238 -2.547 2.184
-11.219 -9.278 2.869
-7.556 -6.878 4.534
-6.546 -1.670 -2.408
-10.631 -5.891 2.115
-3.471 -2.658 0.011
-3.086 -1.805 -2.298
-8.634 -4.419 2.346
-11.016 -6.744 4.424
-5.468 -4.130 -0.220
-4.477 -4.371 3.906
0.000 0.000 0.000
-10.061 -7.839 0.587
-4.041 -0.709 1.539
```

Computed properties:
For the total energy, the calculation gives -5.1772 eV/atom.